{"formula": "Ba2InNi2", "functional": "PBE", "state": "relaxed", "total_magnetization_mub_per_fu": 0.323, "spacegroup": "I4/mmm (139)", "dos_at_fermi_per_ev_atom": 1.0193, "delta_e_f_mev_per_atom": 115, "lattice_angstrom": [[3.588, 0.000, 0.000], [0.000, 3.588, 0.000], [1.794, 1.794, 10.593]], "species": ["Ni", "Ni", "Ba", "Ba", "In"], "frac_coords": [[0.750, 0.250, 0.500], [0.250, 0.750, 0.500], [0.371, 0.371, 0.257], [0.629, 0.629, 0.743], [0.000, 0.000, 0.000]]}